VASP calculation (GGA-PBE) on LiIrIO2 after structural relaxation.

Cell: 3.7607 3.7607 8.5308 Å, 90.00 90.00 90.00°
Closest atoms and distances in Å follow each position.
Element x y z (fractional)
O (0.0000, 0.5000, 0.0000)  2 Ir 1.88
O (0.5000, 0.0000, 0.0000)  2 Ir 1.88
Ir (0.0000, 0.0000, 0.0000)  4 O 1.88
I (0.0000, 0.0000, 0.5000)  4 Li 2.66
Li (0.5000, 0.5000, 0.5000)  4 I 2.66

- ΔE_f (raw) (eV/f.u.) = -3.279
- total magnetic moment (μB per formula unit) = 0.46
- excess energy over the best structure of this formula in the dataset (eV/f.u.) = 0.00